Entry 1:
SrMgO2 | PBE | relaxed

For the uncorrected formation energy, the calculation gives -1.901 eV/atom. The value obtained for the calculated density is 4.59 g cm⁻³.

Geometry as CIF:
```
data_SrMgO2
_chemical_formula_sum 'Sr1 Mg1 O2'
_cell_length_a 4.198
_cell_length_b 4.198
_cell_length_c 2.955
_cell_angle_alpha 90.00
_cell_angle_beta 90.00
_cell_angle_gamma 90.00
_symmetry_space_group_name_H-M 'P 4/m m m'
_symmetry_Int_Tables_number 123
_symmetry_space_group_name_Hall '-P 4 2'
loop_
_atom_site_label
_atom_site_type_symbol
_atom_site_fract_x
_atom_site_fract_y
_atom_site_fract_z
Sr1 Sr 0.000 0.000 0.000
Mg1 Mg 0.500 0.500 0.000
O1 O 0.000 0.500 0.500
```

Entry 2:
Mn5Co | PBE | relaxed

The value obtained for the calculated density is 8.15 g cm⁻³. The value obtained for the calculated formation energy is -0.8 kJ per mole of atoms. Its density of states at the Fermi level is 10.5 states/eV per cell.

Geometry as CIF:
```
data_Mn5Co
_chemical_formula_sum 'Mn10 Co2'
_cell_length_a 3.592
_cell_length_b 10.828
_cell_length_c 3.495
_cell_angle_alpha 90.00
_cell_angle_beta 90.00
_cell_angle_gamma 90.00
_symmetry_space_group_name_H-M 'C m m m'
_symmetry_Int_Tables_number 65
_symmetry_space_group_name_Hall '-C 2 2'
loop_
_atom_site_label
_atom_site_type_symbol
_atom_site_fract_x
_atom_site_fract_y
_atom_site_fract_z
Mn1 Mn 0.000 0.000 0.000
Mn2 Mn 0.000 0.161 0.500
Mn3 Mn 0.000 0.336 0.000
Co1 Co 0.000 0.500 0.500
```

Entry 3:
ReGe4Os | PBE | relaxed

The value obtained for the calculated density is 8.83 g cm⁻³. The value obtained for the calculated formation energy is 34.6 kJ per mole of atoms. Its density of states at the Fermi level is 19.6 states/eV per cell.

Geometry as CIF:
```
data_ReGe4Os
_chemical_formula_sum 'Re4 Ge16 Os4'
_cell_length_a 9.019
_cell_length_b 9.019
_cell_length_c 6.166
_cell_angle_alpha 90.00
_cell_angle_beta 90.00
_cell_angle_gamma 90.00
_symmetry_space_group_name_H-M 'I 41/a m d'
_symmetry_Int_Tables_number 141
loop_
_symmetry_equiv_pos_as_xyz
'x,y,z'
'-x,-y,-z'
'-y+1/4,x+3/4,z+1/4'
'y+1/4,-x+3/4,-z+1/4'
'-x+1/2,-y,z+1/2'
'x+1/2,y,-z+1/2'
'y+1/4,-x+1/4,z+3/4'
'-y+1/4,x+1/4,-z+3/4'
'x,-y,-z'
'-x,y,z'
'-y+1/4,-x+1/4,-z+3/4'
'y+1/4,x+1/4,z+3/4'
'-x+1/2,y,-z+1/2'
'x+1/2,-y,z+1/2'
'y+1/4,x+3/4,-z+1/4'
'-y+1/4,-x+3/4,z+1/4'
'x+1/2,y+1/2,z+1/2'
'-x+1/2,-y+1/2,-z+1/2'
'-y+3/4,x+1/4,z+3/4'
'y+3/4,-x+1/4,-z+3/4'
'-x,-y+1/2,z'
'x,y+1/2,-z'
'y+3/4,-x+3/4,z+1/4'
'-y+3/4,x+3/4,-z+1/4'
'x+1/2,-y+1/2,-z+1/2'
'-x+1/2,y+1/2,z+1/2'
'-y+3/4,-x+3/4,-z+1/4'
'y+3/4,x+3/4,z+1/4'
'-x,y+1/2,-z'
'x,-y+1/2,z'
'y+3/4,x+1/4,-z+3/4'
'-y+3/4,-x+1/4,z+3/4'
loop_
_atom_site_label
_atom_site_type_symbol
_atom_site_fract_x
_atom_site_fract_y
_atom_site_fract_z
Re1 Re 0.000 0.250 0.375
Ge1 Ge 0.000 0.005 0.742
Os1 Os 0.000 0.250 0.875
```

Entry 4:
Y2ErSc | PBE | relaxed

The value obtained for the calculated density is 5.43 g cm⁻³. The value obtained for the calculated formation energy is 5.7 kJ per mole of atoms. Its density of states at the Fermi level is 27.0 states/eV per cell.

Geometry as CIF:
```
data_Y2ErSc
_chemical_formula_sum 'Y8 Er4 Sc4'
_cell_length_a 12.033
_cell_length_b 6.971
_cell_length_c 6.035
_cell_angle_alpha 90.00
_cell_angle_beta 109.62
_cell_angle_gamma 90.00
_symmetry_space_group_name_H-M 'C 1 2/c 1'
_symmetry_Int_Tables_number 15
_symmetry_space_group_name_Hall '-C 2yc'
loop_
_atom_site_label
_atom_site_type_symbol
_atom_site_fract_x
_atom_site_fract_y
_atom_site_fract_z
Y1 Y 0.248 0.125 0.245
Er1 Er 0.000 0.373 0.250
Sc1 Sc 0.000 0.124 0.750
```

Entry 5:
MgHgN2O | PBE | relaxed

For the uncorrected formation energy, the calculation gives 1.403 eV/atom. The value obtained for the calculated density is 5.85 g cm⁻³. Its density of states at the Fermi level is 2.1 states/eV per cell.

Geometry as CIF:
```
data_MgHgN2O
_chemical_formula_sum 'Mg1 Hg1 N2 O1'
_cell_length_a 4.196
_cell_length_b 4.196
_cell_length_c 4.336
_cell_angle_alpha 90.00
_cell_angle_beta 90.00
_cell_angle_gamma 90.00
_symmetry_space_group_name_H-M 'P 4/m m m'
_symmetry_Int_Tables_number 123
_symmetry_space_group_name_Hall '-P 4 2'
loop_
_atom_site_label
_atom_site_type_symbol
_atom_site_fract_x
_atom_site_fract_y
_atom_site_fract_z
Mg1 Mg 0.000 0.000 0.000
Hg1 Hg 0.500 0.500 0.500
N1 N 0.000 0.500 0.500
O1 O 0.500 0.500 0.000
```

Entry 6:
TbGaNi | PBE | relaxed

The value obtained for the calculated density is 7.86 g cm⁻³. The value obtained for the calculated formation energy is -40.4 kJ per mole of atoms. Its density of states at the Fermi level is 16.3 states/eV per cell.

Geometry as CIF:
```
data_TbGaNi
_chemical_formula_sum 'Tb4 Ga4 Ni4'
_cell_length_a 6.238
_cell_length_b 6.238
_cell_length_c 6.238
_cell_angle_alpha 90.00
_cell_angle_beta 90.00
_cell_angle_gamma 90.00
_symmetry_space_group_name_H-M 'F -4 3 m'
_symmetry_Int_Tables_number 216
_symmetry_space_group_name_Hall 'F -4 2 3'
loop_
_atom_site_label
_atom_site_type_symbol
_atom_site_fract_x
_atom_site_fract_y
_atom_site_fract_z
Tb1 Tb 0.000 0.000 0.000
Ga1 Ga 0.000 0.000 0.500
Ni1 Ni 0.250 0.250 0.750
```

Entry 7:
Li3Hg4Rh | PBE | relaxed

The value obtained for the calculated density is 10.76 g cm⁻³. The value obtained for the calculated formation energy is -23.1 kJ per mole of atoms. Its density of states at the Fermi level is 2.9 states/eV per cell.

Geometry as CIF:
```
data_Li3Hg4Rh
_chemical_formula_sum 'Li3 Hg4 Rh1'
_cell_length_a 3.382
_cell_length_b 3.382
_cell_length_c 12.494
_cell_angle_alpha 90.00
_cell_angle_beta 90.00
_cell_angle_gamma 90.00
_symmetry_space_group_name_H-M 'P 4/m m m'
_symmetry_Int_Tables_number 123
_symmetry_space_group_name_Hall '-P 4 2'
loop_
_atom_site_label
_atom_site_type_symbol
_atom_site_fract_x
_atom_site_fract_y
_atom_site_fract_z
Li1 Li 0.000 0.000 0.000
Li2 Li 0.000 0.000 0.257
Hg1 Hg 0.500 0.500 0.125
Hg2 Hg 0.500 0.500 0.374
Rh1 Rh 0.000 0.000 0.500
```

Entry 8:
InHgSb2I | PBE | relaxed

For the uncorrected formation energy, the calculation gives 0.477 eV/atom. The value obtained for the calculated density is 5.67 g cm⁻³. Its density of states at the Fermi level is 4.0 states/eV per cell.

Geometry as CIF:
```
data_InHgSb2I
_chemical_formula_sum 'In1 Hg1 Sb2 I1'
_cell_length_a 5.569
_cell_length_b 5.569
_cell_length_c 6.483
_cell_angle_alpha 90.00
_cell_angle_beta 90.00
_cell_angle_gamma 90.00
_symmetry_space_group_name_H-M 'P 4/m m m'
_symmetry_Int_Tables_number 123
_symmetry_space_group_name_Hall '-P 4 2'
loop_
_atom_site_label
_atom_site_type_symbol
_atom_site_fract_x
_atom_site_fract_y
_atom_site_fract_z
In1 In 0.000 0.000 0.000
Hg1 Hg 0.500 0.500 0.500
Sb1 Sb 0.000 0.500 0.500
I1 I 0.500 0.500 0.000
```

Entry 9:
LiPdPb2 | PBE | relaxed

The value obtained for the calculated density is 10.17 g cm⁻³. The value obtained for the calculated formation energy is -21.1 kJ per mole of atoms. Its density of states at the Fermi level is 1.7 states/eV per cell.

Geometry as CIF:
```
data_LiPdPb2
_chemical_formula_sum 'Li1 Pd1 Pb2'
_cell_length_a 4.890
_cell_length_b 4.890
_cell_length_c 3.605
_cell_angle_alpha 90.00
_cell_angle_beta 90.00
_cell_angle_gamma 90.00
_symmetry_space_group_name_H-M 'P 4/m m m'
_symmetry_Int_Tables_number 123
_symmetry_space_group_name_Hall '-P 4 2'
loop_
_atom_site_label
_atom_site_type_symbol
_atom_site_fract_x
_atom_site_fract_y
_atom_site_fract_z
Li1 Li 0.000 0.000 0.000
Pd1 Pd 0.500 0.500 0.000
Pb1 Pb 0.000 0.500 0.500
```

Entry 10:
CoPHCl2 | PBE | relaxed

The value obtained for the calculated density is 2.81 g cm⁻³. The total energy comes out at -3.364 eV per atom. Its density of states at the Fermi level is 5.2 states/eV per cell.

Geometry as CIF:
```
data_CoPHCl2
_chemical_formula_sum 'Co1 P1 H1 Cl2'
_cell_length_a 4.778
_cell_length_b 4.778
_cell_length_c 4.183
_cell_angle_alpha 90.00
_cell_angle_beta 90.00
_cell_angle_gamma 90.00
_symmetry_space_group_name_H-M 'P 4/m m m'
_symmetry_Int_Tables_number 123
_symmetry_space_group_name_Hall '-P 4 2'
loop_
_atom_site_label
_atom_site_type_symbol
_atom_site_fract_x
_atom_site_fract_y
_atom_site_fract_z
Co1 Co 0.000 0.000 0.000
P1 P 0.000 0.000 0.500
H1 H 0.500 0.500 0.500
Cl1 Cl 0.000 0.500 0.000
```

Entry 11:
Na2TiAlS4 | PBE | relaxed

For the uncorrected formation energy, the calculation gives -1.163 eV/atom. The value obtained for the calculated density is 2.11 g cm⁻³. Its density of states at the Fermi level is 6.8 states/eV per cell.

Geometry as CIF:
```
data_Na2TiAlS4
_chemical_formula_sum 'Na4 Ti2 Al2 S8'
_cell_length_a 6.245
_cell_length_b 6.245
_cell_length_c 10.064
_cell_angle_alpha 90.00
_cell_angle_beta 90.00
_cell_angle_gamma 90.00
_symmetry_space_group_name_H-M 'I -4'
_symmetry_Int_Tables_number 82
_symmetry_space_group_name_Hall 'I -4'
loop_
_atom_site_label
_atom_site_type_symbol
_atom_site_fract_x
_atom_site_fract_y
_atom_site_fract_z
Na1 Na 0.000 0.000 0.000
Na2 Na 0.000 0.500 0.250
Ti1 Ti 0.000 0.000 0.500
Al1 Al 0.000 0.500 0.750
S1 S 0.185 0.744 0.627
```

Entry 12:
Rb3TlPb | PBE | relaxed

The value obtained for the calculated density is 3.06 g cm⁻³. The value obtained for the calculated formation energy is 25.1 kJ per mole of atoms. Its density of states at the Fermi level is 9.1 states/eV per cell.

Geometry as CIF:
```
data_Rb3TlPb
_chemical_formula_sum 'Rb3 Tl1 Pb1'
_cell_length_a 7.134
_cell_length_b 7.134
_cell_length_c 7.134
_cell_angle_alpha 90.00
_cell_angle_beta 90.00
_cell_angle_gamma 90.00
_symmetry_space_group_name_H-M 'P m -3 m'
_symmetry_Int_Tables_number 221
_symmetry_space_group_name_Hall '-P 4 2 3'
loop_
_atom_site_label
_atom_site_type_symbol
_atom_site_fract_x
_atom_site_fract_y
_atom_site_fract_z
Rb1 Rb 0.000 0.000 0.500
Tl1 Tl 0.500 0.500 0.500
Pb1 Pb 0.000 0.000 0.000
```

Entry 13:
YI3 | PBE | relaxed

For the uncorrected formation energy, the calculation gives -0.704 eV/atom. The value obtained for the calculated density is 6.00 g cm⁻³. Its density of states at the Fermi level is 0.0 states/eV per cell.

Geometry as CIF:
```
data_YI3
_chemical_formula_sum 'Y4 I12'
_cell_length_a 8.042
_cell_length_b 8.042
_cell_length_c 8.042
_cell_angle_alpha 90.00
_cell_angle_beta 90.00
_cell_angle_gamma 90.00
_symmetry_space_group_name_H-M 'F m -3 m'
_symmetry_Int_Tables_number 225
_symmetry_space_group_name_Hall '-F 4 2 3'
loop_
_atom_site_label
_atom_site_type_symbol
_atom_site_fract_x
_atom_site_fract_y
_atom_site_fract_z
Y1 Y 0.000 0.000 0.000
I1 I 0.000 0.000 0.500
I2 I 0.250 0.250 0.250
```